This record from Alexandria describes crystalline BaCa14Nd at its relaxed geometry. The functional is PBE-GGA. Values from VASP.

```
&SYSTEM
  ibrav = 0, nat = 16, ntyp = 3
/
ATOMIC_SPECIES
Ba 137.33 Ba.upf
Ca 40.08 Ca.upf
Nd 144.24 Nd.upf
CELL_PARAMETERS angstrom
12.830 0.000 0.000
0.000 3.900 6.784
0.000 -3.900 6.784
ATOMIC_POSITIONS angstrom
Ba 0.000 0.000 0.000
Ca 0.000 -1.940 3.393
Ca 0.000 1.940 3.393
Ca 3.156 0.000 9.013
Ca 3.226 -1.912 5.630
Ca 3.226 1.912 5.630
Ca 3.261 0.000 2.264
Ca 6.415 0.000 4.495
Ca 6.415 -1.942 7.899
Ca 6.415 1.942 7.899
Ca 6.415 0.000 11.273
Ca 9.569 0.000 2.264
Ca 9.604 -1.912 5.630
Ca 9.604 1.912 5.630
Ca 9.673 0.000 9.013
Nd 0.000 0.000 6.780
```

Summary:
Final energy in eV/atom: -2.1318
ρ in Mg/m³: 2.06

=====

This record from Alexandria describes crystalline Ac5Tl2Sn5 at its relaxed geometry. The functional is PBE-GGA. Values from VASP.

```
&SYSTEM
  ibrav = 0, nat = 12, ntyp = 3
/
ATOMIC_SPECIES
Ac 227.00 Ac.upf
Tl 204.38 Tl.upf
Sn 118.71 Sn.upf
CELL_PARAMETERS angstrom
8.632 -2.462 0.000
8.632 2.462 0.000
-8.057 0.000 9.729
ATOMIC_POSITIONS angstrom
Ac 0.000 0.000 0.000
Ac -1.564 0.000 4.092
Ac -3.204 0.000 8.085
Ac 12.410 0.000 1.644
Ac 10.771 0.000 5.637
Tl 0.156 0.000 7.444
Tl 9.051 0.000 2.286
Sn 1.882 0.000 3.231
Sn 6.169 0.000 1.568
Sn 4.603 0.000 4.865
Sn 3.038 0.000 8.162
Sn 7.324 0.000 6.499
```

Summary:
Final energy in eV/atom: -4.3148
ρ in Mg/m³: 8.58

=====

This record from Alexandria describes crystalline ZnCu2Tc at its relaxed geometry. The functional is PBE-GGA. Values from VASP.

```
&SYSTEM
  ibrav = 0, nat = 4, ntyp = 3
/
ATOMIC_SPECIES
Zn 65.41 Zn.upf
Cu 63.55 Cu.upf
Tc 98.00 Tc.upf
CELL_PARAMETERS angstrom
2.671 0.000 0.000
0.000 4.466 0.000
0.000 0.000 4.477
ATOMIC_POSITIONS angstrom
Zn 0.000 0.000 0.000
Cu 0.000 2.233 2.239
Cu 1.336 0.000 2.239
Tc 1.336 2.233 0.000
```

Summary:
Final energy in eV/atom: -4.7507
ρ in Mg/m³: 9.03

=====

This record from Alexandria describes crystalline KBSb2C at its relaxed geometry. The functional is PBE-GGA. Values from VASP.

```
&SYSTEM
  ibrav = 0, nat = 5, ntyp = 4
/
ATOMIC_SPECIES
K 39.10 K.upf
B 10.81 B.upf
Sb 121.76 Sb.upf
C 12.01 C.upf
CELL_PARAMETERS angstrom
5.997 0.000 0.000
0.000 5.997 0.000
0.000 0.000 5.062
ATOMIC_POSITIONS angstrom
K 0.000 0.000 0.000
B 0.000 0.000 2.531
Sb 0.000 2.998 0.000
Sb 2.998 0.000 0.000
C 2.998 2.998 2.531
```

Summary:
ΔE_f (raw) in eV per atom: 3.22
Final energy in eV/atom: -1.8320
ρ in Mg/m³: 2.79

=====

Number 4 is which compound?
KBSb2C

=====

Which value of ρ does entry 3 give?
9.03 Mg/m³

=====

Which value of final energy does entry 2 give?
-4.3148 eV/atom

=====

Which value of final energy does entry 3 give?
-4.7507 eV/atom